(1)
## MgFeSi2Sb (PBE)

Data for an optimized crystal structure of MgFeSi2Sb.

The structure in CIF format:
```
data_MgFeSi2Sb
_cell_length_a 4.3523
_cell_length_b 4.3523
_cell_length_c 5.1274
_cell_angle_alpha 90.00
_cell_angle_beta 90.00
_cell_angle_gamma 90.00
_symmetry_space_group_name_H-M 'P 4/m m m'
_symmetry_Int_Tables_number 123
_symmetry_space_group_name_Hall '-P 4 2'
loop_
_atom_site_label
_atom_site_fract_x
_atom_site_fract_y
_atom_site_fract_z
Mg1 0.0000 0.0000 0.0000
Fe1 0.0000 0.0000 0.5000
Si1 0.0000 0.5000 0.5000
Sb1 0.5000 0.5000 0.0000
```

## Properties
- total magnetic moment (Bohr magnetons per cell) = 0.0
- uncorrected formation energy (meV per atom) = 235
- density (g/cm3) = 4.412



(2)
## MgCo2Rh (PBE)

Data for an optimized crystal structure of MgCo2Rh.

The structure in CIF format:
```
data_MgCo2Rh
_cell_length_a 2.7286
_cell_length_b 2.7286
_cell_length_c 7.2347
_cell_angle_alpha 90.00
_cell_angle_beta 90.00
_cell_angle_gamma 90.00
_symmetry_space_group_name_H-M 'P 4/m m m'
_symmetry_Int_Tables_number 123
_symmetry_space_group_name_Hall '-P 4 2'
loop_
_atom_site_label
_atom_site_fract_x
_atom_site_fract_y
_atom_site_fract_z
Mg1 0.0000 0.0000 0.0000
Co1 0.5000 0.5000 0.2635
Rh1 0.0000 0.0000 0.5000
```

## Properties
- total magnetic moment (Bohr magnetons per cell) = 3.5
- energy of formation (eV/atom) = 0.1247
- density (g/cm3) = 7.555



(3)
## Sm6GaAg (PBE)

Data for an optimized crystal structure of Sm6GaAg.

The structure in CIF format:
```
data_Sm6GaAg
_cell_length_a 5.1524
_cell_length_b 5.1524
_cell_length_c 17.7925
_cell_angle_alpha 90.00
_cell_angle_beta 90.00
_cell_angle_gamma 90.00
_symmetry_space_group_name_H-M 'I 4/m m m'
_symmetry_Int_Tables_number 139
_symmetry_space_group_name_Hall '-I 4 2'
loop_
_atom_site_label
_atom_site_fract_x
_atom_site_fract_y
_atom_site_fract_z
Sm1 0.0000 0.0000 0.2482
Sm2 0.0000 0.5000 0.1060
Ga1 0.0000 0.0000 0.0000
Ag1 0.0000 0.0000 0.5000
```

## Properties
- total magnetic moment (Bohr magnetons per cell) = 0.0
- energy of formation (eV/atom) = -0.1917
- density (g/cm3) = 7.592



(4)
## Ga5Ni3Pt12 (PBE)

Data for an optimized crystal structure of Ga5Ni3Pt12.

The structure in CIF format:
```
data_Ga5Ni3Pt12
_cell_length_a 14.3748
_cell_length_b 14.3748
_cell_length_c 14.3748
_cell_angle_alpha 90.00
_cell_angle_beta 90.00
_cell_angle_gamma 90.00
_symmetry_space_group_name_H-M 'I a -3 d'
_symmetry_Int_Tables_number 230
_symmetry_space_group_name_Hall '-I 4bd 2c 3'
loop_
_atom_site_label
_atom_site_fract_x
_atom_site_fract_y
_atom_site_fract_z
Ga1 0.0000 0.0000 0.0000
Ga2 0.0000 0.2500 0.3750
Ni1 0.0000 0.2500 0.1250
Pt1 0.0170 0.0817 0.6490
```

## Properties
- total magnetic moment (Bohr magnetons per cell) = 16.0
- energy of formation (eV/atom) = 0.0812
- density (g/cm3) = 12.816



(5)
## Dy4CuAg3 (PBE)

Data for an optimized crystal structure of Dy4CuAg3.

The structure in CIF format:
```
data_Dy4CuAg3
_cell_length_a 3.5856
_cell_length_b 3.5856
_cell_length_c 14.4797
_cell_angle_alpha 90.00
_cell_angle_beta 90.00
_cell_angle_gamma 90.00
_symmetry_space_group_name_H-M 'P 4/m m m'
_symmetry_Int_Tables_number 123
_symmetry_space_group_name_Hall '-P 4 2'
loop_
_atom_site_label
_atom_site_fract_x
_atom_site_fract_y
_atom_site_fract_z
Dy1 0.0000 0.0000 0.1155
Dy2 0.0000 0.0000 0.3722
Cu1 0.5000 0.5000 0.0000
Ag1 0.5000 0.5000 0.2449
Ag2 0.5000 0.5000 0.5000
```

## Properties
- total magnetic moment (Bohr magnetons per cell) = 0.0
- energy of formation (eV/atom) = -0.3008
- density (g/cm3) = 9.251



(6)
## BAsC2 (PBE)

Data for an optimized crystal structure of BAsC2.

The structure in CIF format:
```
data_BAsC2
_cell_length_a 2.9659
_cell_length_b 2.9659
_cell_length_c 14.9868
_cell_angle_alpha 90.00
_cell_angle_beta 90.00
_cell_angle_gamma 120.00
_symmetry_space_group_name_H-M 'R 3 m'
_symmetry_Int_Tables_number 160
_symmetry_space_group_name_Hall 'R 3 -2"'
loop_
_atom_site_label
_atom_site_fract_x
_atom_site_fract_y
_atom_site_fract_z
B1 0.0000 0.0000 0.0000
As1 0.0000 0.0000 0.8572
C1 0.0000 0.0000 0.3595
C2 0.0000 0.0000 0.4621
```

## Properties
- total magnetic moment (Bohr magnetons per cell) = 0.0
- energy of formation (eV/atom) = 0.6047
- density (g/cm3) = 4.789
- excess energy over the best structure of this formula in the dataset (meV per atom) = 207



(7)
## Sr2HfVTc (PBE)

Data for an optimized crystal structure of Sr2HfVTc.

The structure in CIF format:
```
data_Sr2HfVTc
_cell_length_a 5.6742
_cell_length_b 5.6742
_cell_length_c 4.8199
_cell_angle_alpha 90.00
_cell_angle_beta 90.00
_cell_angle_gamma 90.00
_symmetry_space_group_name_H-M 'P 4/m m m'
_symmetry_Int_Tables_number 123
_symmetry_space_group_name_Hall '-P 4 2'
loop_
_atom_site_label
_atom_site_fract_x
_atom_site_fract_y
_atom_site_fract_z
Sr1 0.0000 0.5000 0.0000
Hf1 0.0000 0.0000 0.5000
V1 0.0000 0.0000 0.0000
Tc1 0.5000 0.5000 0.5000
```

## Properties
- total magnetic moment (Bohr magnetons per cell) = 4.5
- energy of formation (eV/atom) = 1.5415
- density (g/cm3) = 5.379
- excess energy over the best structure of this formula in the dataset (meV per atom) = 0



(8)
## K2PuAgTe4 (PBE)

Data for an optimized crystal structure of K2PuAgTe4.

The structure in CIF format:
```
data_K2PuAgTe4
_cell_length_a 8.3828
_cell_length_b 8.3828
_cell_length_c 7.6569
_cell_angle_alpha 90.00
_cell_angle_beta 90.00
_cell_angle_gamma 90.00
_symmetry_space_group_name_H-M 'I -4 2 m'
_symmetry_Int_Tables_number 121
_symmetry_space_group_name_Hall 'I -4 2'
loop_
_atom_site_label
_atom_site_fract_x
_atom_site_fract_y
_atom_site_fract_z
K1 0.0000 0.5000 0.0000
Pu1 0.0000 0.0000 0.0000
Ag1 0.0000 0.0000 0.5000
Te1 0.1859 0.1859 0.2668
```

## Properties
- total magnetic moment (Bohr magnetons per cell) = 6.3
- uncorrected formation energy (meV per atom) = -588
- density (g/cm3) = 5.805